[1]
Entry from Alexandria: an optimized crystal structure of KNa8Cd4 (GGA-PBE).

As for the space group: No. 139. The total energy is -1.246 eV per atom. The size of the total moment comes out at 0.000 μB/atom.

abc: 6.295 8.665 8.665
angles: 82.42 68.70 68.70
Sites, in units of the cell vectors:
1 Na 0.500 0.780 0.220
2 Cd 0.500 0.500 0.000
3 Na 0.657 0.343 0.343
4 Na 0.000 0.657 0.343
5 Na 0.000 0.343 0.657
6 Cd 0.000 0.000 0.500
7 K 0.000 0.000 0.000
8 Cd 0.000 0.500 0.000
9 Na 0.280 0.220 0.220
10 Na 0.500 0.220 0.780
11 Na 0.720 0.780 0.780
12 Cd 0.500 0.000 0.500
13 Na 0.343 0.657 0.657


[2]
Entry from Alexandria: an optimized crystal structure of KNa12Cd5 (GGA-PBE).

As for the space group: No. 71. The total energy is -1.217 eV per atom. The size of the total moment comes out at 0.000 μB/atom.

abc: 9.365 9.365 9.365
angles: 97.57 111.80 119.79
Sites, in units of the cell vectors:
1 Na 0.087 0.818 0.269
2 Na 0.694 0.314 0.008
3 Cd 0.654 0.654 0.000
4 Na 0.804 0.035 0.231
5 Na 0.306 0.686 0.992
6 Na 0.804 0.573 0.769
7 Na 0.196 0.965 0.769
8 Na 0.913 0.182 0.731
9 Cd 0.346 0.346 0.000
10 K 0.000 0.500 0.500
11 Cd 0.500 0.117 0.617
12 Na 0.306 0.314 0.620
13 Na 0.694 0.686 0.380
14 Na 0.549 0.818 0.731
15 Cd 0.500 0.883 0.383
16 Na 0.196 0.427 0.231
17 Cd 0.000 0.000 0.000
18 Na 0.451 0.182 0.269


[3]
Entry from Alexandria: an optimized crystal structure of K6NaCd6 (GGA-PBE).

As for the space group: No. 71. The total energy is -1.027 eV per atom. The size of the total moment comes out at 0.000 μB/atom.

abc: 6.813 9.376 9.376
angles: 83.84 68.69 68.69
Sites, in units of the cell vectors:
1 Cd 0.500 0.759 0.241
2 K 0.000 0.315 0.685
3 K 0.000 0.685 0.315
4 Cd 0.500 0.000 0.500
5 Cd 0.500 0.500 0.000
6 K 0.336 0.664 0.664
7 Cd 0.000 0.500 0.000
8 K 0.333 0.167 0.167
9 Cd 0.500 0.241 0.759
10 Na 0.000 0.000 0.000
11 K 0.664 0.336 0.336
12 Cd 0.000 0.000 0.500
13 K 0.667 0.833 0.833


[4]
Entry from Alexandria: an optimized crystal structure of KNa2Cd (GGA-PBE).

As for the space group: No. 11. The total energy is -1.194 eV per atom. The size of the total moment comes out at 0.000 μB/atom.

abc: 5.129 6.808 9.763
angles: 90.00 90.00 112.12
Sites, in units of the cell vectors:
1 Cd 0.233 0.468 0.250
2 Na 0.344 0.688 0.942
3 Na 0.656 0.312 0.058
4 Cd 0.767 0.532 0.750
5 Na 0.344 0.688 0.558
6 K 0.056 0.112 0.750
7 Na 0.656 0.312 0.442
8 K 0.944 0.888 0.250


[5]
Entry from Alexandria: an optimized crystal structure of K2Na3Cd2 (GGA-PBE).

As for the space group: No. 12. The total energy is -1.179 eV per atom. The size of the total moment comes out at 0.000 μB/atom.

abc: 5.623 6.951 8.698
angles: 115.84 90.00 113.86
Sites, in units of the cell vectors:
1 Na 0.500 0.000 0.000
2 K 0.847 0.694 0.220
3 Na 0.638 0.276 0.443
4 Na 0.362 0.724 0.557
5 K 0.153 0.306 0.780
6 Cd 0.118 0.236 0.182
7 Cd 0.882 0.764 0.818


[6]
Entry from Alexandria: an optimized crystal structure of K3Na2Cd5 (GGA-PBE).

As for the space group: No. 15. The total energy is -1.089 eV per atom. The size of the total moment comes out at 0.000 μB/atom.

abc: 6.618 8.181 13.469
angles: 107.68 104.22 90.00
Sites, in units of the cell vectors:
1 Cd 0.397 0.147 0.294
2 K 0.778 0.437 0.556
3 Cd 0.897 0.147 0.294
4 Cd 0.603 0.853 0.706
5 Cd 0.103 0.853 0.706
6 Cd 0.419 0.207 0.838
7 K 0.278 0.119 0.556
8 K 0.222 0.563 0.444
9 K 0.722 0.881 0.444
10 K 0.750 0.000 0.000
11 Na 0.897 0.221 0.793
12 Cd 0.581 0.793 0.162
13 Cd 0.750 0.500 0.000
14 Na 0.396 0.572 0.793
15 Na 0.103 0.779 0.207
16 Na 0.604 0.428 0.207
17 Cd 0.082 0.369 0.162
18 Cd 0.250 0.500 0.000
19 Cd 0.918 0.631 0.838
20 K 0.250 0.000 0.000


[7]
Entry from Alexandria: an optimized crystal structure of K2NaCd (GGA-PBE).

As for the space group: No. 123. The total energy is -1.093 eV per atom. The size of the total moment comes out at 0.000 μB/atom.

abc: 4.997 5.965 5.965
angles: 90.00 90.00 90.00
Sites, in units of the cell vectors:
1 Na 0.500 0.500 0.500
2 Cd 0.500 0.000 0.000
3 K 0.000 0.500 0.000
4 K 0.000 0.000 0.500


[8]
Entry from Alexandria: an optimized crystal structure of KNa8Cd2 (GGA-PBE).

As for the space group: No. 164. The total energy is -1.175 eV per atom. The size of the total moment comes out at 0.000 μB/atom.

abc: 10.220 6.787 6.787
angles: 120.00 90.00 90.00
Sites, in units of the cell vectors:
1 K 0.500 0.000 0.000
2 Na 0.289 0.667 0.333
3 Na 0.141 0.169 0.831
4 Na 0.859 0.831 0.169
5 Na 0.859 0.338 0.169
6 Na 0.711 0.333 0.667
7 Cd 0.601 0.667 0.333
8 Na 0.141 0.169 0.338
9 Na 0.141 0.662 0.831
10 Cd 0.399 0.333 0.667
11 Na 0.859 0.831 0.662


[9]
Entry from Alexandria: an optimized crystal structure of K5Na2Cd2 (GGA-PBE).

As for the space group: No. 64. The total energy is -1.101 eV per atom. The size of the total moment comes out at 0.000 μB/atom.

abc: 9.315 9.254 11.524
angles: 90.00 66.16 90.00
Sites, in units of the cell vectors:
1 K 0.063 0.685 0.247
2 Na 0.268 0.500 0.463
3 Cd 0.389 0.889 0.000
4 K 0.500 0.500 0.000
5 Cd 0.111 0.389 0.000
6 K 0.310 0.685 0.753
7 Na 0.232 0.000 0.537
8 K 0.937 0.315 0.753
9 Na 0.732 0.500 0.537
10 Cd 0.889 0.611 0.000
11 Na 0.768 0.000 0.463
12 K 0.437 0.185 0.753
13 K 0.190 0.185 0.247
14 K 0.000 0.000 0.000
15 K 0.690 0.315 0.247
16 K 0.563 0.815 0.247
17 Cd 0.611 0.111 0.000
18 K 0.810 0.815 0.753


[10]
Entry from Alexandria: an optimized crystal structure of K2NaCd (GGA-PBE).

As for the space group: No. 12. The total energy is -1.124 eV per atom. The size of the total moment comes out at 0.000 μB/atom.

abc: 4.686 7.318 12.671
angles: 74.14 79.34 71.33
Sites, in units of the cell vectors:
1 K 0.140 0.374 0.346
2 Na 0.187 0.812 0.813
3 K 0.496 0.305 0.703
4 Na 0.448 0.867 0.237
5 K 0.818 0.340 0.025
6 Cd 0.552 0.932 0.964
7 K 0.818 0.840 0.525
8 Cd 0.084 0.747 0.086


[11]
Entry from Alexandria: an optimized crystal structure of K4Na2Cd (GGA-PBE).

As for the space group: No. 139. The total energy is -1.030 eV per atom. The size of the total moment comes out at 0.000 μB/atom.

abc: 6.753 6.753 10.744
angles: 71.68 71.68 90.00
Sites, in units of the cell vectors:
1 Cd 0.000 0.000 0.000
2 Na 0.389 0.389 0.222
3 K 0.187 0.187 0.627
4 K 0.000 0.500 0.000
5 Na 0.611 0.611 0.778
6 K 0.500 0.000 0.000
7 K 0.813 0.813 0.373


[12]
Entry from Alexandria: an optimized crystal structure of K2NaCd4 (GGA-PBE).

As for the space group: No. 139. The total energy is -0.871 eV per atom. The size of the total moment comes out at 0.000 μB/atom.

abc: 5.694 5.694 9.917
angles: 73.32 73.32 90.00
Sites, in units of the cell vectors:
1 Cd 0.833 0.833 0.334
2 Cd 0.500 0.000 0.000
3 Cd 0.167 0.167 0.666
4 Na 0.000 0.000 0.000
5 Cd 0.000 0.500 0.000
6 K 0.635 0.635 0.730
7 K 0.365 0.365 0.270


[13]
Entry from Alexandria: an optimized crystal structure of K6NaCd (GGA-PBE).

As for the space group: No. 38. The total energy is -1.089 eV per atom. The size of the total moment comes out at 0.000 μB/atom.

abc: 4.873 9.981 9.981
angles: 94.69 90.00 90.00
Sites, in units of the cell vectors:
1 K 0.000 0.565 0.800
2 K 0.500 0.898 0.102
3 Cd 0.500 0.291 0.709
4 K 0.000 0.633 0.367
5 K 0.000 0.200 0.435
6 Na 0.000 0.138 0.862
7 K 0.500 0.365 0.091
8 K 0.500 0.909 0.635


[14]
Entry from Alexandria: an optimized crystal structure of K4NaCd (GGA-PBE).

As for the space group: No. 15. The total energy is -1.105 eV per atom. The size of the total moment comes out at 0.000 μB/atom.

abc: 6.878 11.402 10.414
angles: 116.93 99.99 106.64
Sites, in units of the cell vectors:
1 K 0.722 0.367 0.156
2 Na 0.630 0.380 0.760
3 K 0.368 0.934 0.643
4 Cd 0.748 0.998 0.996
5 K 0.775 0.709 0.643
6 K 0.632 0.066 0.357
7 K 0.225 0.291 0.357
8 K 0.934 0.789 0.156
9 K 0.066 0.211 0.844
10 Cd 0.252 0.002 0.004
11 K 0.278 0.633 0.844
12 Na 0.370 0.620 0.240


[15]
Entry from Alexandria: an optimized crystal structure of K7Na2Cd2 (GGA-PBE).

As for the space group: No. 12. The total energy is -1.093 eV per atom. The size of the total moment comes out at 0.000 μB/atom.

abc: 7.906 7.906 9.671
angles: 98.64 98.64 102.62
Sites, in units of the cell vectors:
1 Cd 0.690 0.310 0.500
2 K 0.505 0.925 0.207
3 Cd 0.310 0.690 0.500
4 K 0.075 0.495 0.793
5 K 0.495 0.075 0.793
6 K 0.189 0.189 0.456
7 K 0.000 0.000 0.000
8 Na 0.429 0.429 0.206
9 K 0.925 0.505 0.207
10 Na 0.571 0.571 0.794
11 K 0.811 0.811 0.544


[16]
Entry from Alexandria: an optimized crystal structure of K3Na5Cd6 (GGA-PBE).

As for the space group: No. 71. The total energy is -1.163 eV per atom. The size of the total moment comes out at 0.000 μB/atom.

abc: 5.061 10.341 10.341
angles: 72.00 75.83 75.83
Sites, in units of the cell vectors:
1 Na 0.693 0.976 0.638
2 Na 0.000 0.500 0.500
3 Cd 0.102 0.173 0.622
4 Cd 0.500 0.724 0.276
5 K 0.674 0.326 0.326
6 Na 0.307 0.362 0.024
7 K 0.326 0.674 0.674
8 K 0.000 0.000 0.000
9 Na 0.307 0.024 0.362
10 Cd 0.500 0.276 0.724
11 Cd 0.898 0.378 0.827
12 Na 0.693 0.638 0.976
13 Cd 0.102 0.622 0.173
14 Cd 0.898 0.827 0.378


[17]
Entry from Alexandria: an optimized crystal structure of K12Na6Cd (GGA-PBE).

As for the space group: No. 204. The total energy is -1.125 eV per atom. The size of the total moment comes out at 0.000 μB/atom.

abc: 11.196 11.196 11.196
angles: 109.47 109.47 109.47
Sites, in units of the cell vectors:
1 K 0.730 0.549 0.819
2 K 0.912 0.181 0.730
3 K 0.270 0.451 0.181
4 Na 0.135 0.635 0.500
5 Na 0.500 0.865 0.365
6 Na 0.500 0.135 0.635
7 Cd 0.000 0.000 0.000
8 K 0.181 0.730 0.912
9 K 0.088 0.819 0.270
10 K 0.730 0.912 0.181
11 K 0.270 0.088 0.819
12 Na 0.865 0.365 0.500
13 Na 0.635 0.500 0.135
14 K 0.549 0.819 0.730
15 K 0.819 0.730 0.549
16 K 0.451 0.181 0.270
17 K 0.181 0.270 0.451
18 K 0.819 0.270 0.088
19 Na 0.365 0.500 0.865


[18]
Entry from Alexandria: an optimized crystal structure of K2Na6Cd (GGA-PBE).

As for the space group: No. 12. The total energy is -1.215 eV per atom. The size of the total moment comes out at 0.000 μB/atom.

abc: 7.535 7.457 7.909
angles: 78.74 90.00 120.35
Sites, in units of the cell vectors:
1 K 0.654 0.308 0.131
2 Na 0.379 0.246 0.672
3 Cd 0.000 0.000 0.000
4 Na 0.621 0.754 0.328
5 Na 0.877 0.754 0.694
6 Na 0.868 0.246 0.672
7 Na 0.132 0.754 0.328
8 Na 0.123 0.246 0.306
9 K 0.346 0.692 0.869


[19]
Entry from Alexandria: an optimized crystal structure of KNa3Cd3 (GGA-PBE).

As for the space group: No. 148. The total energy is -1.109 eV per atom. The size of the total moment comes out at 0.000 μB/atom.

abc: 7.653 7.653 10.559
angles: 68.75 68.75 60.00
Sites, in units of the cell vectors:
1 Cd 0.066 0.767 0.562
2 Na 0.244 0.810 0.231
3 Cd 0.233 0.395 0.438
4 Na 0.810 0.715 0.231
5 Na 0.756 0.190 0.769
6 Na 0.285 0.756 0.769
7 Cd 0.395 0.934 0.438
8 Cd 0.767 0.605 0.562
9 K 0.700 0.700 0.900
10 K 0.300 0.300 0.100
11 Na 0.190 0.285 0.769
12 Cd 0.605 0.066 0.562
13 Cd 0.934 0.233 0.438
14 Na 0.715 0.244 0.231


[20]
Entry from Alexandria: an optimized crystal structure of KNa5Cd3 (GGA-PBE).

As for the space group: No. 193. The total energy is -1.181 eV per atom. The size of the total moment comes out at 0.000 μB/atom.

abc: 6.972 9.737 9.737
angles: 120.00 90.00 90.00
Sites, in units of the cell vectors:
1 K 0.000 0.000 0.000
2 Na 0.750 0.341 0.000
3 Na 0.250 0.000 0.659
4 Na 0.500 0.667 0.333
5 Na 0.500 0.333 0.667
6 Na 0.250 0.659 0.000
7 Cd 0.250 0.000 0.339
8 Na 0.000 0.333 0.667
9 Na 0.250 0.341 0.341
10 K 0.500 0.000 0.000
11 Na 0.750 0.000 0.341
12 Cd 0.250 0.339 0.000
13 Cd 0.750 0.000 0.661
14 Cd 0.750 0.661 0.000
15 Cd 0.750 0.339 0.339
16 Na 0.000 0.667 0.333
17 Na 0.750 0.659 0.659
18 Cd 0.250 0.661 0.661


no.,formation energy (kJ/mol of formula units)
1,-86
2,-39
3,4
4,-12
5,-26
6,-37
7,6
8,53
9,4
10,-6
11,70
12,104
13,11
14,0
15,13
16,-87
17,60
18,8
19,3
20,-18